VASP calculation (GGA-PBE) on a relaxed structure of Nd2SbH.

Geometry as POSCAR:
```
Nd2SbH
1.0
4.249 0.000 0.000
2.124 3.680 0.000
2.124 1.227 6.536
H Nd Sb
1 2 1
Direct
0.000 0.000 0.000
0.738 0.738 0.786
0.262 0.262 0.214
0.500 0.500 0.500
```

Properties
Size of the total moment ... 0.0 Bohr magnetons per cell
DFT total energy ... -0.17909 Ha/atom
Calculated volume ... 25.5 Å³ per atom
Density of states at the Fermi level ... 0.427 states/eV/atom